# 1
Material: Ga6Pd12Pt
Method: DFT, PBE
State: optimized geometry

Output
Raw total energy: -95.5 eV per cell
Crystal system: trigonal
Symmetry: R-3, No. 148

Lattice parameters (Å, degrees): 7.266 7.266 7.266 108.84 108.84 108.84
Element x y z (fractional)
Ga (0.794, 0.882, 0.562)
Ga (0.438, 0.206, 0.118)
Ga (0.118, 0.438, 0.206)
Ga (0.206, 0.118, 0.438)
Ga (0.562, 0.794, 0.882)
Ga (0.882, 0.562, 0.794)
Pd (0.816, 0.511, 0.414)
Pd (0.414, 0.816, 0.511)
Pd (0.511, 0.414, 0.816)
Pd (0.184, 0.489, 0.586)
Pd (0.586, 0.184, 0.489)
Pd (0.489, 0.586, 0.184)
Pd (0.945, 0.708, 0.190)
Pd (0.292, 0.810, 0.055)
Pd (0.810, 0.055, 0.292)
Pd (0.055, 0.292, 0.810)
Pd (0.708, 0.190, 0.945)
Pd (0.190, 0.945, 0.708)
Pt (0.000, 0.000, 0.000)

# 2
Material: Ga4PdPt7
Method: DFT, PBE
State: optimized geometry

Output
Raw total energy: -62.8 eV per cell
Crystal system: monoclinic
Symmetry: C2/m, No. 12

Lattice parameters (Å, degrees): 4.855 7.978 6.056 78.99 66.37 72.29
Element x y z (fractional)
Ga (0.584, 0.221, 0.611)
Ga (0.416, 0.779, 0.389)
Ga (0.731, 0.673, 0.865)
Ga (0.269, 0.327, 0.135)
Pd (0.000, 0.000, 0.000)
Pt (0.792, 0.897, 0.519)
Pt (0.208, 0.103, 0.481)
Pt (0.078, 0.659, 0.185)
Pt (0.922, 0.341, 0.815)
Pt (0.362, 0.539, 0.736)
Pt (0.500, 0.000, 0.000)
Pt (0.638, 0.461, 0.264)